# 1
The following is a DFT calculation (PBE-GGA) of a relaxed structure of Ac2ZnCrN4.

Unit cell a=4.6503 b=11.2229 c=19.3303 alpha=90.00 beta=90.00 gamma=90.00
Space group Fddd (No. 70, origin choice 2)
One atom of each set of equivalent atoms:
1 Ac 0.1250 0.1250 0.3014 [16 per cell]
2 Zn 0.1250 0.1250 0.1250 [8 per cell]
3 Cr 0.1250 0.1250 0.6250 [8 per cell]
4 N 0.1025 0.2668 0.8257 [32 per cell]

Properties
* Fermi-level density of states: 0.56 states/eV/atom
* ΔE_f (raw): -0.461 eV per atom
* uncorrected energy: -448.826 eV for the cell shown
* ρ: 8.26 g/cm3

=====

# 2
The following is a DFT calculation (PBE-GGA) of a relaxed structure of AcZr2CrN4.

Unit cell a=3.3579 b=11.5103 c=11.2005 alpha=90.00 beta=90.00 gamma=90.00
Space group Cmcm (No. 63)
One atom of each set of equivalent atoms:
1 Ac 0.0000 0.0945 0.2500 [4 per cell]
2 Zr 0.0000 0.3681 0.0453 [8 per cell]
3 Cr 0.0000 0.1680 0.7500 [4 per cell]
4 N 0.0000 0.0000 0.0000 [4 per cell]
5 N 0.0000 0.2634 0.6154 [8 per cell]
6 N 0.0000 0.4164 0.2500 [4 per cell]

Properties
* Fermi-level density of states: 0.39 states/eV/atom
* ΔE_f (raw): -1.248 eV per atom
* uncorrected energy: -296.465 eV for the cell shown
* ρ: 7.94 g/cm3